No. 1
Pr2DyHo7 PBE relaxed; Fermi-level density of states = 15.4 states/eV per cell; formation energy from the elements = 0.1565 eV per atom; magnetization = 0.00 μB/f.u.; E above lowest polymorph = 0.1350 eV per atom
1.0
3.513 0.000 0.000
0.000 13.989 -4.791
0.000 -10.587 10.324
Ho Dy Pr
7 1 2
direct
0.500 0.657 0.852 Ho
0.500 0.343 0.148 Ho
0.500 0.148 0.343 Ho
0.000 0.184 0.816 Ho
0.500 0.852 0.657 Ho
0.000 0.816 0.184 Ho
0.500 0.500 0.500 Ho
0.000 0.000 0.000 Dy
0.500 0.292 0.708 Pr
0.500 0.708 0.292 Pr

No. 2
Pr6DyHo12 PBE relaxed; Fermi-level density of states = 26.6 states/eV per cell; formation energy from the elements = 0.4801 eV per atom; magnetization = 0.08 μB/f.u.; E above lowest polymorph = 0.2618 eV per atom
1.0
8.871 0.327 0.460
-1.882 8.675 0.460
-1.882 -2.425 8.342
Ho Pr Dy
12 6 1
direct
0.116 0.500 0.884 Ho
0.168 0.453 0.453 Ho
0.453 0.453 0.168 Ho
0.547 0.547 0.832 Ho
0.500 0.116 0.884 Ho
0.547 0.832 0.547 Ho
0.500 0.884 0.116 Ho
0.884 0.116 0.500 Ho
0.884 0.500 0.116 Ho
0.116 0.884 0.500 Ho
0.832 0.547 0.547 Ho
0.453 0.168 0.453 Ho
0.219 0.219 0.739 Pr
0.781 0.781 0.261 Pr
0.261 0.781 0.781 Pr
0.781 0.261 0.781 Pr
0.219 0.739 0.219 Pr
0.739 0.219 0.219 Pr
0.000 0.000 0.000 Dy

Among the records above, which one has the highest E above lowest polymorph? Pr6DyHo12

The highest Fermi-level density of states belongs to which entry? Pr6DyHo12

E above lowest polymorph of number 2 (Pr6DyHo12)? 0.2618 eV per atom

Fermi-level density of states of number 1 (Pr2DyHo7)? 15.4 states/eV per cell